1 | A plane-wave DFT calculation with GGA-PBE was carried out for an optimized crystal structure of TmAl6Ga.

a b c (Å): 6.1638 9.8147 4.8351
angles (deg): 90.00 90.00 90.00
Space group Cmmm (No. 65)
Inequivalent atoms, fractional coordinates:
1 Tm 0.0000 0.0000 0.0000 [2 per cell]
2 Al 0.0000 0.2227 0.5000 [4 per cell]
3 Al 0.2078 0.5000 0.5000 [4 per cell]
4 Al 0.2500 0.2500 0.0000 [4 per cell]
5 Ga 0.0000 0.5000 0.0000 [2 per cell]

For the density of states at the Fermi level, the calculation gives 2.7 states/eV/f.u.


2 | A plane-wave DFT calculation with GGA-PBE was carried out for an optimized crystal structure of TmAl6Ga.

a b c (Å): 7.7157 8.3744 5.5606
angles (deg): 90.00 90.27 90.00
Space group C2/m (No. 12)
Inequivalent atoms, fractional coordinates:
1 Tm 0.0000 0.0000 0.0000 [2 per cell]
2 Al 0.1647 0.0000 0.5037 [4 per cell]
3 Al 0.2298 0.2591 0.7638 [8 per cell]
4 Ga 0.0000 0.5000 0.5000 [2 per cell]

For the density of states at the Fermi level, the calculation gives 3.3 states/eV/f.u.


Most stable structure, least stable structure: 1, 2.


1 | A plane-wave DFT calculation with GGA-PBE was carried out for an optimized crystal structure of TmAl2Ga4.

a b c (Å): 3.9834 3.9834 9.4771
angles (deg): 90.00 90.00 90.00
Space group P-42m (No. 111)
Inequivalent atoms, fractional coordinates:
1 Tm 0.0000 0.0000 0.0000 [1 per cell]
2 Al 0.0000 0.5000 0.5000 [2 per cell]
3 Ga 0.2586 0.2586 0.2596 [4 per cell]

For the density of states at the Fermi level, the calculation gives 3.3 states/eV/f.u.


2 | A plane-wave DFT calculation with GGA-PBE was carried out for an optimized crystal structure of TmAl2Ga4.

a b c (Å): 4.1313 4.1313 30.1501
angles (deg): 90.00 90.00 120.00
Space group R-3m (No. 166, hexagonal axes)
Inequivalent atoms, fractional coordinates:
1 Tm 0.0000 0.0000 0.0000 [3 per cell]
2 Al 0.0000 0.0000 0.1879 [6 per cell]
3 Ga 0.0000 0.0000 0.0993 [6 per cell]
4 Ga 0.0000 0.0000 0.2741 [6 per cell]

For the density of states at the Fermi level, the calculation gives 2.7 states/eV/f.u.


Most stable structure, least stable structure: 2, 1.


1 | A plane-wave DFT calculation with GGA-PBE was carried out for an optimized crystal structure of TmAl2Ga3.

a b c (Å): 4.5742 4.5742 6.1544
angles (deg): 90.00 90.00 120.00
Space group P-3m1 (No. 164)
Inequivalent atoms, fractional coordinates:
1 Tm 0.0000 0.0000 0.0000 [1 per cell]
2 Al 0.3333 0.6667 0.7009 [2 per cell]
3 Ga 0.0000 0.0000 0.5000 [1 per cell]
4 Ga 0.3333 0.6667 0.2532 [2 per cell]

For the density of states at the Fermi level, the calculation gives 2.3 states/eV/f.u.


2 | A plane-wave DFT calculation with GGA-PBE was carried out for an optimized crystal structure of TmAl2Ga3.

a b c (Å): 5.8118 5.4272 7.9470
angles (deg): 90.00 111.41 90.00
Space group P2_1/m (No. 11)
Inequivalent atoms, fractional coordinates:
1 Tm 0.1709 0.2500 0.3416 [2 per cell]
2 Al 0.2366 0.9999 0.9995 [4 per cell]
3 Ga 0.0879 0.2500 0.6866 [2 per cell]
4 Ga 0.3473 0.7500 0.6949 [2 per cell]
5 Ga 0.4035 0.7500 0.3125 [2 per cell]

For the density of states at the Fermi level, the calculation gives 3.3 states/eV/f.u.


Most stable structure, least stable structure: 1, 2.


1 | A plane-wave DFT calculation with GGA-PBE was carried out for an optimized crystal structure of Tm4Al2Ga.

a b c (Å): 5.3639 6.3239 10.1640
angles (deg): 90.00 99.38 90.00
Space group P2_1/m (No. 11)
Inequivalent atoms, fractional coordinates:
1 Tm 0.1430 0.2500 0.1178 [2 per cell]
2 Tm 0.2387 0.7500 0.4424 [2 per cell]
3 Tm 0.3192 0.0063 0.7359 [4 per cell]
4 Al 0.2219 0.2500 0.4251 [2 per cell]
5 Al 0.4033 0.7500 0.0050 [2 per cell]
6 Ga 0.1030 0.7500 0.1671 [2 per cell]

For the density of states at the Fermi level, the calculation gives 4.7 states/eV/f.u.


2 | A plane-wave DFT calculation with GGA-PBE was carried out for an optimized crystal structure of Tm4Al2Ga.

a b c (Å): 4.9820 4.9820 24.4512
angles (deg): 90.00 90.00 120.00
Space group R-3m (No. 166, hexagonal axes)
Inequivalent atoms, fractional coordinates:
1 Tm 0.0000 0.0000 0.1215 [6 per cell]
2 Tm 0.0000 0.0000 0.3730 [6 per cell]
3 Al 0.0000 0.0000 0.2499 [6 per cell]
4 Ga 0.0000 0.0000 0.5000 [3 per cell]

For the density of states at the Fermi level, the calculation gives 6.6 states/eV/f.u.


Most stable structure, least stable structure: 1, 2.


1 | A plane-wave DFT calculation with GGA-PBE was carried out for an optimized crystal structure of Tm3Al4Ga2.

a b c (Å): 7.0518 7.0518 4.2160
angles (deg): 90.00 90.00 120.00
Space group P-62m (No. 189)
Inequivalent atoms, fractional coordinates:
1 Tm 0.0000 0.4119 0.0000 [3 per cell]
2 Al 0.0000 0.0000 0.0000 [1 per cell]
3 Al 0.0000 0.7528 0.5000 [3 per cell]
4 Ga 0.3333 0.6667 0.5000 [2 per cell]

For the density of states at the Fermi level, the calculation gives 4.7 states/eV/f.u.


2 | A plane-wave DFT calculation with GGA-PBE was carried out for an optimized crystal structure of Tm3Al4Ga2.

a b c (Å): 10.3944 4.4825 8.4919
angles (deg): 90.00 114.34 90.00
Space group C2/m (No. 12)
Inequivalent atoms, fractional coordinates:
1 Tm 0.0000 0.0000 0.0000 [2 per cell]
2 Tm 0.1705 0.5000 0.6623 [4 per cell]
3 Al 0.0432 0.0000 0.3769 [4 per cell]
4 Al 0.2301 0.5000 0.0643 [4 per cell]
5 Ga 0.1095 0.5000 0.2770 [4 per cell]

For the density of states at the Fermi level, the calculation gives 4.9 states/eV/f.u.


Most stable structure, least stable structure: 2, 1.


1 | A plane-wave DFT calculation with GGA-PBE was carried out for an optimized crystal structure of TmAlGa3.

a b c (Å): 9.3044 2.9983 7.9198
angles (deg): 90.00 90.00 90.00
Space group Pmma (No. 51)
Inequivalent atoms, fractional coordinates:
1 Tm 0.2500 0.0000 0.1951 [2 per cell]
2 Al 0.2500 0.5000 0.8277 [2 per cell]
3 Ga 0.0000 0.5000 0.0000 [2 per cell]
4 Ga 0.0117 0.5000 0.6563 [4 per cell]

For the density of states at the Fermi level, the calculation gives 3.4 states/eV/f.u.


2 | A plane-wave DFT calculation with GGA-PBE was carried out for an optimized crystal structure of TmAlGa3.

a b c (Å): 4.8025 6.2968 6.4939
angles (deg): 90.00 90.00 90.00
Space group Pmmn (No. 59, origin choice 2)
Inequivalent atoms, fractional coordinates:
1 Tm 0.2500 0.2500 0.2145 [2 per cell]
2 Al 0.2500 0.7500 0.4585 [2 per cell]
3 Ga 0.2500 0.0520 0.7373 [4 per cell]
4 Ga 0.2500 0.7500 0.0746 [2 per cell]

For the density of states at the Fermi level, the calculation gives 3.4 states/eV/f.u.


Most stable structure, least stable structure: 2, 1.


1 | A plane-wave DFT calculation with GGA-PBE was carried out for an optimized crystal structure of Tm3AlGa3.

a b c (Å): 10.7640 4.3116 13.9076
angles (deg): 90.00 109.81 90.00
Space group C2/m (No. 12)
Inequivalent atoms, fractional coordinates:
1 Tm 0.0195 0.0000 0.3750 [4 per cell]
2 Tm 0.1062 0.0000 0.9236 [4 per cell]
3 Tm 0.2377 0.0000 0.2222 [4 per cell]
4 Al 0.2359 0.5000 0.3920 [4 per cell]
5 Ga 0.0238 0.5000 0.2278 [4 per cell]
6 Ga 0.1126 0.5000 0.0746 [4 per cell]
7 Ga 0.1297 0.5000 0.5458 [4 per cell]

For the density of states at the Fermi level, the calculation gives 5.0 states/eV/f.u.


2 | A plane-wave DFT calculation with GGA-PBE was carried out for an optimized crystal structure of Tm3AlGa3.

a b c (Å): 8.5855 8.5855 4.7887
angles (deg): 90.00 90.00 120.00
Space group P6_3/m (No. 176)
Inequivalent atoms, fractional coordinates:
1 Tm 0.0991 0.4412 0.2500 [6 per cell]
2 Al 0.3333 0.6667 0.7500 [2 per cell]
3 Ga 0.0426 0.2121 0.7500 [6 per cell]

For the density of states at the Fermi level, the calculation gives 3.4 states/eV/f.u.


Most stable structure, least stable structure: 1, 2.


1 | A plane-wave DFT calculation with GGA-PBE was carried out for an optimized crystal structure of TmAlZnGa.

a b c (Å): 6.6828 6.6828 6.6828
angles (deg): 90.00 90.00 90.00
Space group F-43m (No. 216)
Inequivalent atoms, fractional coordinates:
1 Tm 0.0000 0.0000 0.0000 [4 per cell]
2 Al 0.0000 0.0000 0.5000 [4 per cell]
3 Zn 0.2500 0.2500 0.2500 [4 per cell]
4 Ga 0.2500 0.2500 0.7500 [4 per cell]

For the density of states at the Fermi level, the calculation gives 1.5 states/eV/f.u.


2 | A plane-wave DFT calculation with GGA-PBE was carried out for an optimized crystal structure of TmAlZnGa.

a b c (Å): 3.2919 5.0164 5.1278
angles (deg): 90.00 90.00 90.00
Space group Pmmm (No. 47)
Inequivalent atoms, fractional coordinates:
1 Tm 0.0000 0.0000 0.0000 [1 per cell]
2 Al 0.5000 0.5000 0.5000 [1 per cell]
3 Zn 0.5000 0.0000 0.5000 [1 per cell]
4 Ga 0.5000 0.5000 0.0000 [1 per cell]

For the density of states at the Fermi level, the calculation gives 1.7 states/eV/f.u.


Most stable structure, least stable structure: 1, 2.


1 | A plane-wave DFT calculation with GGA-PBE was carried out for an optimized crystal structure of UAlGa2.

a b c (Å): 3.4083 3.4083 6.6398
angles (deg): 90.00 90.00 90.00
Space group P4/mmm (No. 123)
Inequivalent atoms, fractional coordinates:
1 U 0.0000 0.0000 0.0000 [1 per cell]
2 Al 0.0000 0.0000 0.5000 [1 per cell]
3 Ga 0.5000 0.5000 0.2924 [2 per cell]

For the density of states at the Fermi level, the calculation gives 7.6 states/eV/f.u.


2 | A plane-wave DFT calculation with GGA-PBE was carried out for an optimized crystal structure of UAlGa2.

a b c (Å): 6.7432 6.7432 6.7432
angles (deg): 90.00 90.00 90.00
Space group Fm-3m (No. 225)
Inequivalent atoms, fractional coordinates:
1 U 0.0000 0.0000 0.0000 [4 per cell]
2 Al 0.0000 0.0000 0.5000 [4 per cell]
3 Ga 0.2500 0.2500 0.2500 [8 per cell]

For the density of states at the Fermi level, the calculation gives 7.7 states/eV/f.u.


Most stable structure, least stable structure: 1, 2.


1 | A plane-wave DFT calculation with GGA-PBE was carried out for an optimized crystal structure of UAlGa2.

a b c (Å): 4.3188 4.3188 14.8847
angles (deg): 90.00 90.00 120.00
Space group R-3m (No. 166, hexagonal axes)
Inequivalent atoms, fractional coordinates:
1 U 0.0000 0.0000 0.0000 [3 per cell]
2 Al 0.0000 0.0000 0.5000 [3 per cell]
3 Ga 0.0000 0.0000 0.2245 [6 per cell]

For the density of states at the Fermi level, the calculation gives 7.3 states/eV/f.u.


2 | A plane-wave DFT calculation with GGA-PBE was carried out for an optimized crystal structure of UAlGa2.

a b c (Å): 4.2855 4.2855 4.2162
angles (deg): 90.00 90.00 90.00
Space group P4/mmm (No. 123)
Inequivalent atoms, fractional coordinates:
1 U 0.0000 0.0000 0.0000 [1 per cell]
2 Al 0.5000 0.5000 0.0000 [1 per cell]
3 Ga 0.0000 0.5000 0.5000 [2 per cell]

For the density of states at the Fermi level, the calculation gives 5.0 states/eV/f.u.


Most stable structure, least stable structure: 2, 1.


1 | A plane-wave DFT calculation with GGA-PBE was carried out for an optimized crystal structure of Al4V2Ga.

a b c (Å): 4.8306 4.8306 12.4985
angles (deg): 90.00 90.00 90.00
Space group I4/mmm (No. 139)
Inequivalent atoms, fractional coordinates:
1 Al 0.0000 0.0000 0.2005 [4 per cell]
2 Al 0.0000 0.5000 0.0000 [4 per cell]
3 V 0.0000 0.0000 0.4117 [4 per cell]
4 Ga 0.0000 0.0000 0.0000 [2 per cell]

For the density of states at the Fermi level, the calculation gives 5.2 states/eV/f.u.


2 | A plane-wave DFT calculation with GGA-PBE was carried out for an optimized crystal structure of Al4V2Ga.

a b c (Å): 5.0489 6.7690 6.8079
angles (deg): 92.35 106.52 99.81
Space group P1 (No. 1)
Inequivalent atoms, fractional coordinates:
1 Al 0.0000 0.0000 0.0000 [1 per cell]
2 Al 0.0627 0.4163 0.8651 [1 per cell]
3 Al 0.2486 0.7903 0.4630 [1 per cell]
4 Al 0.3142 0.1772 0.3415 [1 per cell]
5 Al 0.4172 0.8027 0.8820 [1 per cell]
6 Al 0.5711 0.2232 0.0278 [1 per cell]
7 Al 0.8224 0.7431 0.6462 [1 per cell]
8 Al 0.8906 0.3672 0.4512 [1 per cell]
9 V 0.1400 0.0899 0.6607 [1 per cell]
10 V 0.4869 0.4312 0.6840 [1 per cell]
11 V 0.6547 0.1016 0.6710 [1 per cell]
12 V 0.7609 0.9631 0.3080 [1 per cell]
13 Ga 0.4264 0.5552 0.2612 [1 per cell]
14 Ga 0.8422 0.6241 0.0970 [1 per cell]

For the density of states at the Fermi level, the calculation gives 3.9 states/eV/f.u.


Most stable structure, least stable structure: 2, 1.


1 | A plane-wave DFT calculation with GGA-PBE was carried out for an optimized crystal structure of Al4VGa2.

a b c (Å): 4.9543 4.9543 12.5535
angles (deg): 90.00 90.00 90.00
Space group I4/mmm (No. 139)
Inequivalent atoms, fractional coordinates:
1 Al 0.0000 0.0000 0.1895 [4 per cell]
2 Al 0.0000 0.5000 0.0000 [4 per cell]
3 V 0.0000 0.0000 0.0000 [2 per cell]
4 Ga 0.0000 0.0000 0.3922 [4 per cell]

For the density of states at the Fermi level, the calculation gives 4.1 states/eV/f.u.


2 | A plane-wave DFT calculation with GGA-PBE was carried out for an optimized crystal structure of Al4VGa2.

a b c (Å): 6.3378 6.3378 6.6900
angles (deg): 90.00 90.00 90.00
Space group I-42m (No. 121)
Inequivalent atoms, fractional coordinates:
1 Al 0.1607 0.1607 0.1343 [8 per cell]
2 V 0.0000 0.0000 0.5000 [2 per cell]
3 Ga 0.0000 0.5000 0.2500 [4 per cell]

For the density of states at the Fermi level, the calculation gives 5.2 states/eV/f.u.


Most stable structure, least stable structure: 2, 1.